1.
First-principles (PBE) data for an optimized crystal structure of Sr3YSc, as listed in Alexandria via LeMat-Bulk.

```
Sr3YSc
1.0
6.152 0.000 0.000
0.000 6.152 0.000
0.000 0.000 6.152
Y Sr Sc
1 3 1
Direct
0.500 0.500 0.500
0.000 0.500 0.000
0.000 0.000 0.500
0.500 0.000 0.000
0.000 0.000 0.000
```

Results
space group	Pm-3m (221)
energy above the lowest structure with this stoichiometry	0.000	eV/atom
D(E_F)	13.53	states/eV per cell
calculated formation energy	0.79	eV per atom
M_tot	0.8	μB/cell
V	46.57	Å³ per atom

---

2.
First-principles (PBE) data for an optimized crystal structure of SrY4Sc, as listed in Alexandria via LeMat-Bulk.

```
SrY4Sc
1.0
-0.181 -6.649 -0.591
-1.480 -3.784 5.299
-5.844 -3.219 0.277
Sr Y Sc
1 4 1
Direct
0.000 0.000 0.000
0.868 0.377 0.377
0.377 0.377 0.868
0.377 0.868 0.377
0.377 0.377 0.377
0.750 0.750 0.750
```

Results
space group	F-43m (216)
D(E_F)	8.59	states/eV per cell
calculated formation energy	0.33	eV per atom
M_tot	0.0	μB/cell
V	35.09	Å³ per atom

---

3.
First-principles (PBE) data for an optimized crystal structure of SrYSc3, as listed in Alexandria via LeMat-Bulk.

```
SrYSc3
1.0
-4.759 2.158 -1.778
0.453 -2.867 -4.695
-2.759 -4.194 2.295
Y Sr Sc
1 1 3
Direct
0.000 0.000 0.000
0.500 0.500 0.500
0.000 0.500 0.000
0.000 0.000 0.500
0.500 0.000 0.000
```

Results
space group	Pm-3m (221)
energy above the lowest structure with this stoichiometry	0.000	eV/atom
D(E_F)	6.19	states/eV per cell
calculated formation energy	0.68	eV per atom
M_tot	1.4	μB/cell
V	33.63	Å³ per atom